Record 1
A plane-wave DFT calculation with GGA-PBE was carried out for a relaxed Tb5Pm3Ho4 crystal.

E_form	0.23	eV/atom
total magnetic moment	0.193	μB/cell
crystal system	monoclinic
SG	No. 12

Cell and atoms, written as CIF:
```
data_Tb5Pm3Ho4
_chemical_formula_sum 'Tb5 Pm3 Ho4'
_cell_length_a 5.915
_cell_length_b 8.544
_cell_length_c 9.666
_cell_angle_alpha 106.03
_cell_angle_beta 72.18
_cell_angle_gamma 69.75
_symmetry_space_group_name_H-M 'P 1'
_symmetry_Int_Tables_number 1
loop_
_symmetry_equiv_pos_as_xyz
'x,y,z'
loop_
_atom_site_label
_atom_site_type_symbol
_atom_site_fract_x
_atom_site_fract_y
_atom_site_fract_z
Tb1 Tb 0.216 0.457 0.111
Tb2 Tb 0.500 0.500 0.500
Tb3 Tb 0.623 0.951 0.802
Tb4 Tb 0.377 0.049 0.198
Tb5 Tb 0.784 0.543 0.889
Pm1 Pm 0.479 0.313 0.729
Pm2 Pm 0.000 0.500 0.500
Pm3 Pm 0.521 0.687 0.271
Ho1 Ho 0.140 0.778 0.941
Ho2 Ho 0.860 0.222 0.059
Ho3 Ho 0.834 0.956 0.377
Ho4 Ho 0.166 0.044 0.623
```



Record 2
A plane-wave DFT calculation with GGA-PBE was carried out for a relaxed TbPm5Ho3 crystal.

E_form	0.31	eV/atom
total magnetic moment	0.000	μB/cell
crystal system	tetragonal
SG	No. 140

Cell and atoms, written as CIF:
```
data_TbPm5Ho3
_chemical_formula_sum 'Tb2 Pm10 Ho6'
_cell_length_a 9.224
_cell_length_b 9.224
_cell_length_c 9.701
_cell_angle_alpha 118.39
_cell_angle_beta 118.39
_cell_angle_gamma 90.00
_symmetry_space_group_name_H-M 'P 1'
_symmetry_Int_Tables_number 1
loop_
_symmetry_equiv_pos_as_xyz
'x,y,z'
loop_
_atom_site_label
_atom_site_type_symbol
_atom_site_fract_x
_atom_site_fract_y
_atom_site_fract_z
Pm1 Pm 0.430 0.335 0.265
Pm2 Pm 0.665 0.165 0.735
Pm3 Pm 0.165 0.070 0.735
Pm4 Pm 0.835 0.930 0.265
Pm5 Pm 0.070 0.570 0.735
Pm6 Pm 0.570 0.665 0.735
Pm7 Pm 0.000 0.000 0.000
Pm8 Pm 0.335 0.835 0.265
Pm9 Pm 0.930 0.430 0.265
Pm10 Pm 0.500 0.500 0.000
Tb1 Tb 0.250 0.750 0.500
Tb2 Tb 0.750 0.250 0.500
Ho1 Ho 0.750 0.750 0.500
Ho2 Ho 0.890 0.610 0.000
Ho3 Ho 0.250 0.250 0.500
Ho4 Ho 0.610 0.110 0.000
Ho5 Ho 0.390 0.890 0.000
Ho6 Ho 0.110 0.390 0.000
```



Record 3
A plane-wave DFT calculation with GGA-PBE was carried out for a relaxed Tb5Pm4Ho4 crystal.

E_form	0.02	eV/atom
total magnetic moment	0.000	μB/cell
crystal system	tetragonal
SG	No. 87

Cell and atoms, written as CIF:
```
data_Tb5Pm4Ho4
_chemical_formula_sum 'Tb5 Pm4 Ho4'
_cell_length_a 5.044
_cell_length_b 9.471
_cell_length_c 9.471
_cell_angle_alpha 85.94
_cell_angle_beta 74.56
_cell_angle_gamma 74.56
_symmetry_space_group_name_H-M 'P 1'
_symmetry_Int_Tables_number 1
loop_
_symmetry_equiv_pos_as_xyz
'x,y,z'
loop_
_atom_site_label
_atom_site_type_symbol
_atom_site_fract_x
_atom_site_fract_y
_atom_site_fract_z
Ho1 Ho 0.770 0.384 0.076
Ho2 Ho 0.846 0.924 0.384
Ho3 Ho 0.154 0.076 0.616
Ho4 Ho 0.230 0.616 0.924
Pm1 Pm 0.078 0.540 0.305
Pm2 Pm 0.922 0.460 0.695
Pm3 Pm 0.617 0.305 0.460
Pm4 Pm 0.383 0.695 0.540
Tb1 Tb 0.690 0.849 0.770
Tb2 Tb 0.310 0.151 0.230
Tb3 Tb 0.000 0.000 0.000
Tb4 Tb 0.461 0.230 0.849
Tb5 Tb 0.539 0.770 0.151
```



Record 4
A plane-wave DFT calculation with GGA-PBE was carried out for a relaxed Tb3Pm4Ho8 crystal.

E_form	0.13	eV/atom
total magnetic moment	0.000	μB/cell
crystal system	trigonal
SG	No. 166

Cell and atoms, written as CIF:
```
data_Tb3Pm4Ho8
_chemical_formula_sum 'Tb3 Pm4 Ho8'
_cell_length_a 6.948
_cell_length_b 6.948
_cell_length_c 12.451
_cell_angle_alpha 73.80
_cell_angle_beta 73.80
_cell_angle_gamma 60.00
_symmetry_space_group_name_H-M 'P 1'
_symmetry_Int_Tables_number 1
loop_
_symmetry_equiv_pos_as_xyz
'x,y,z'
loop_
_atom_site_label
_atom_site_type_symbol
_atom_site_fract_x
_atom_site_fract_y
_atom_site_fract_z
Pm1 Pm 0.337 0.337 0.990
Pm2 Pm 0.000 0.000 0.000
Pm3 Pm 0.500 0.500 0.500
Pm4 Pm 0.663 0.663 0.010
Tb1 Tb 0.000 0.500 0.500
Tb2 Tb 0.000 0.000 0.500
Tb3 Tb 0.500 0.000 0.500
Ho1 Ho 0.750 0.750 0.253
Ho2 Ho 0.250 0.250 0.747
Ho3 Ho 0.247 0.750 0.253
Ho4 Ho 0.250 0.753 0.747
Ho5 Ho 0.750 0.247 0.253
Ho6 Ho 0.755 0.755 0.735
Ho7 Ho 0.753 0.250 0.747
Ho8 Ho 0.245 0.245 0.265
```